# AuBr2Cl, optimized geometry, DFT PBE
data_AuBr2Cl
_chemical_formula_sum 'Au1 Br2 Cl1'
_space_group_name_H-M_alt 'P 1'
_space_group_IT_number 1
_space_group_name_Hall 'P 1'
_cell_length_a 5.087
_cell_length_b 5.087
_cell_length_c 5.087
_cell_angle_alpha 60.00
_cell_angle_beta 60.00
_cell_angle_gamma 60.00
loop_
_atom_site_label
_atom_site_fract_x
_atom_site_fract_y
_atom_site_fract_z
Au1 0.000 0.000 0.000
Br1 0.500 0.500 0.500
Br2 0.750 0.750 0.750
Cl1 0.250 0.250 0.250
# - relative energy among the computed polymorphs (meV per atom) = 774
# - size of the total moment (μB/f.u.) = 1.2
# - calculated volume (Å³ per atom) = 23.3